# 1
VASP calculation (PBE) on a geometry-optimized TaTlBiO6 structure.

a b c (Å): 5.5590 5.5590 9.5689
angles (deg): 90.00 90.00 120.00
With the nearest neighbours (Å) after each atom.
Fractional positions:
Ta1 0.6667 0.3333 0.2500  6 O 2.01
Ta2 0.3333 0.6667 0.7500  6 O 2.01
Tl1 0.3333 0.6667 0.2500  6 O 2.28
Tl2 0.6667 0.3333 0.7500  6 O 2.28
Bi1 0.0000 0.0000 0.0000  6 O 2.30
Bi2 0.0000 0.0000 0.5000  6 O 2.30
O1 0.6733 0.6362 0.1319  1 Ta 2.01
O2 0.9630 0.3267 0.1319  1 Ta 2.01
O3 0.3267 0.9630 0.6319  1 Ta 2.01
O4 0.0370 0.6733 0.8681  1 Ta 2.01
O5 0.3638 0.3267 0.3681  1 Ta 2.01
O6 0.9630 0.6362 0.3681  1 Ta 2.01
O7 0.6362 0.9630 0.8681  1 Ta 2.01
O8 0.6733 0.0370 0.3681  1 Ta 2.01
O9 0.0370 0.3638 0.6319  1 Ta 2.01
O10 0.3638 0.0370 0.1319  1 Ta 2.01
O11 0.6362 0.6733 0.6319  1 Ta 2.01
O12 0.3267 0.3638 0.8681  1 Ta 2.01

Properties
Raw formation energy   -146.1 kJ per mole of atoms
Calculated volume   256.1 Å³/cell
Space-group type   P-31c
Crystal system   trigonal
Mass density   8.952 g/cm³
M_tot   0.00 Bohr magnetons per cell
E   -0.2510 hartree per atom

***

# 2
VASP calculation (PBE) on a geometry-optimized Y2CuHgN structure.

a b c (Å): 4.9161 4.9161 3.9349
angles (deg): 90.00 90.00 90.00
With the nearest neighbours (Å) after each atom.
Fractional positions:
Y1 0.0000 0.5000 0.0000  2 N 2.46
Y2 0.5000 0.0000 0.0000  2 N 2.46
Hg1 0.5000 0.5000 0.5000  8 Y 3.15, 4 Cu 3.48
Cu1 0.0000 0.0000 0.5000  2 N 1.97
N1 0.0000 0.0000 0.0000  2 Cu 1.97

Properties
Raw formation energy   -63.7 kJ per mole of atoms
Calculated volume   95.1 Å³/cell
Space-group type   P4/mmm
Crystal system   tetragonal
Mass density   7.962 g/cm³
M_tot   0.00 Bohr magnetons per cell
E   -0.2128 hartree per atom

***

# 3
VASP calculation (PBE) on a geometry-optimized Ca5Ge2H structure.

a b c (Å): 6.9345 6.9345 6.5909
angles (deg): 121.75 121.75 90.00
With the nearest neighbours (Å) after each atom.
Fractional positions:
Ca1 0.7561 0.2511 0.0073  1 H 2.43
Ca2 0.2512 0.2512 0.0073  1 H 2.43
Ca3 0.7562 0.7562 0.0074  1 H 2.43
Ca4 0.2511 0.7561 0.0073  1 H 2.43
Ca5 0.7518 0.7519 0.5037  1 H 2.18
Ge1 0.2556 0.7556 0.5111  10 Ca 3.28-3.47
Ge2 0.7556 0.2556 0.5111  10 Ca 3.28-3.47
H1 0.9993 0.9993 0.9987  5 Ca 2.18-2.43

Properties
Calculated volume   211.7 Å³/cell
Space-group type   I4mm
Crystal system   tetragonal
Mass density   2.719 g/cm³
M_tot   1.04 Bohr magnetons per cell
E   -0.1148 hartree per atom

***

# 4
VASP calculation (PBE) on a geometry-optimized TbHoMg3 structure.

a b c (Å): 5.1724 11.4247 11.4247
angles (deg): 54.40 76.92 76.92
With the nearest neighbours (Å) after each atom.
Fractional positions:
Tb1 0.0515 0.3205 0.0771  9 Mg 3.24-3.57, 3 Tb 3.35-3.63
Tb2 0.5515 0.0771 0.3205  9 Mg 3.24-3.57, 3 Tb 3.35-3.63
Tb3 0.4485 0.9229 0.6795  9 Mg 3.24-3.57, 3 Tb 3.35-3.63
Tb4 0.9485 0.6795 0.9229  9 Mg 3.24-3.57, 3 Tb 3.35-3.63
Ho1 0.2500 0.6279 0.3721  8 Mg 3.23-3.37
Ho2 0.2500 0.1275 0.8725  8 Mg 3.22-3.45
Ho3 0.7500 0.3721 0.6279  8 Mg 3.23-3.37
Ho4 0.7500 0.8725 0.1275  8 Mg 3.22-3.45
Mg1 0.6524 0.2214 0.9740  1 Mg 3.08, 4 Ho 3.22-3.25, 3 Tb 3.24-3.26
Mg2 0.1524 0.9740 0.2214  1 Mg 3.08, 4 Ho 3.22-3.25, 3 Tb 3.24-3.26
Mg3 0.8476 0.0260 0.7786  1 Mg 3.08, 4 Ho 3.22-3.25, 3 Tb 3.24-3.26
Mg4 0.3476 0.7786 0.0260  1 Mg 3.08, 4 Ho 3.22-3.25, 3 Tb 3.24-3.26
Mg5 0.9441 0.1633 0.4497  5 Mg 3.08-3.16, 2 Tb 3.35
Mg6 0.4441 0.4497 0.1633  5 Mg 3.08-3.16, 2 Tb 3.35
Mg7 0.5559 0.5503 0.8367  5 Mg 3.08-3.16, 2 Tb 3.35
Mg8 0.0559 0.8367 0.5503  5 Mg 3.08-3.16, 2 Tb 3.35
Mg9 0.8600 0.5056 0.2748  3 Mg 3.08-3.16, 1 Tb 3.26, 4 Ho 3.33-3.45
Mg10 0.3600 0.2748 0.5056  3 Mg 3.08-3.16, 1 Tb 3.26, 4 Ho 3.33-3.45
Mg11 0.6400 0.7252 0.4944  3 Mg 3.08-3.16, 1 Tb 3.26, 4 Ho 3.33-3.45
Mg12 0.1400 0.4944 0.7252  3 Mg 3.08-3.16, 1 Tb 3.26, 4 Ho 3.33-3.45

Properties
Formation enthalpy at 0 K   -0.030 eV per atom
Calculated volume   530.9 Å³/cell
Space-group type   Imma
Crystal system   orthorhombic
E above lowest polymorph   0 meV per atom
Mass density   4.964 g/cm³
M_tot   0.00 Bohr magnetons per cell
E   -0.1039 hartree per atom

***

# 5
VASP calculation (PBE) on a geometry-optimized MnNiP2 structure.

a b c (Å): 7.1612 7.1612 7.1612
angles (deg): 22.32 22.32 22.32
With the nearest neighbours (Å) after each atom.
Fractional positions:
Mn1 0.2500 0.2500 0.2500  6 P 2.32
Ni1 0.7500 0.7500 0.7500  6 P 2.42
P1 0.9967 0.9967 0.9967  3 Mn 2.32, 3 Ni 2.42
P2 0.5033 0.5033 0.5033  3 Mn 2.32, 3 Ni 2.42

Properties
Formation enthalpy at 0 K   -0.224 eV per atom
Calculated volume   46.4 Å³/cell
Space-group type   R-3m
Crystal system   trigonal
Mass density   6.277 g/cm³
M_tot   0.59 Bohr magnetons per cell
E   -0.2450 hartree per atom

***

# 6
VASP calculation (PBE) on a geometry-optimized Nb4FeNi structure.

a b c (Å): 4.9495 6.2109 6.2109
angles (deg): 90.00 90.00 90.00
With the nearest neighbours (Å) after each atom.
Fractional positions:
Nb1 0.0000 0.1616 0.6568  2 Fe 2.63, 2 Ni 2.66, 1 Nb 2.80
Nb2 0.0000 0.8384 0.3432  2 Fe 2.63, 2 Ni 2.66, 1 Nb 2.80
Nb3 0.0000 0.3432 0.1616  2 Fe 2.63, 2 Ni 2.66, 1 Nb 2.80
Nb4 0.0000 0.6568 0.8384  2 Fe 2.63, 2 Ni 2.66, 1 Nb 2.80
Nb5 0.5000 0.8384 0.6568  2 Fe 2.63, 2 Ni 2.66, 1 Nb 2.80
Nb6 0.5000 0.1616 0.3432  2 Fe 2.63, 2 Ni 2.66, 1 Nb 2.80
Nb7 0.5000 0.6568 0.1616  2 Fe 2.63, 2 Ni 2.66, 1 Nb 2.80
Nb8 0.5000 0.3432 0.8384  2 Fe 2.63, 2 Ni 2.66, 1 Nb 2.80
Fe1 0.2500 0.5000 0.5000  2 Fe 2.47, 8 Nb 2.63
Fe2 0.7500 0.5000 0.5000  2 Fe 2.47, 8 Nb 2.63
Ni1 0.2500 0.0000 0.0000  2 Ni 2.47, 8 Nb 2.66
Ni2 0.7500 0.0000 0.0000  2 Ni 2.47, 8 Nb 2.66

Properties
Formation enthalpy at 0 K   -0.128 eV per atom
Calculated volume   190.9 Å³/cell
Space-group type   P4/mcc
Crystal system   tetragonal
Mass density   8.456 g/cm³
M_tot   1.36 Bohr magnetons per cell
E   -0.3387 hartree per atom

***

# 7
VASP calculation (PBE) on a geometry-optimized HfThZnCu structure.

a b c (Å): 4.9059 4.9059 4.9059
angles (deg): 60.00 60.00 60.00
With the nearest neighbours (Å) after each atom.
Fractional positions:
Zn1 0.2500 0.2500 0.2500  4 Hf 3.00, 4 Th 3.00
Hf1 0.5000 0.5000 0.5000  4 Cu 3.00, 4 Zn 3.00
Cu1 0.7500 0.7500 0.7500  4 Hf 3.00, 4 Th 3.00
Th1 0.0000 0.0000 0.0000  4 Cu 3.00, 4 Zn 3.00

Properties
Formation enthalpy at 0 K   -0.025 eV per atom
Calculated volume   83.5 Å³/cell
Space-group type   F-43m
Crystal system   cubic
Mass density   10.730 g/cm³
M_tot   0.00 Bohr magnetons per cell
E   -0.2099 hartree per atom

***

# 8
VASP calculation (PBE) on a geometry-optimized SbPd2Cl structure.

a b c (Å): 4.7126 4.7126 4.7126
angles (deg): 60.00 60.00 60.00
With the nearest neighbours (Å) after each atom.
Fractional positions:
Sb1 0.5000 0.5000 0.5000  8 Pd 2.89
Pd1 0.2500 0.2500 0.2500  4 Cl 2.89, 4 Sb 2.89
Pd2 0.7500 0.7500 0.7500  4 Cl 2.89, 4 Sb 2.89
Cl1 0.0000 0.0000 0.0000  8 Pd 2.89

Properties
Raw formation energy   -8.9 kJ per mole of atoms
Calculated volume   74.0 Å³/cell
Space-group type   Fm-3m
Crystal system   cubic
E above lowest polymorph   185 meV per atom
Mass density   8.303 g/cm³
M_tot   0.00 Bohr magnetons per cell
E   -0.1537 hartree per atom

***

# 9
VASP calculation (PBE) on a geometry-optimized Li6La2Hg3 structure.

a b c (Å): 4.1395 8.5339 8.5339
angles (deg): 120.00 90.00 90.00
With the nearest neighbours (Å) after each atom.
Fractional positions:
Li1 0.5000 0.7279 0.7279  3 Hg 2.80-3.02, 4 Li 2.93
Li2 0.5000 0.0000 0.2721  3 Hg 2.80-3.02, 4 Li 2.93
Li3 0.0000 0.1940 0.1940  2 Hg 2.71, 6 Li 2.87-2.93
Li4 0.0000 0.8060 0.0000  2 Hg 2.71, 6 Li 2.87-2.93
Li5 0.5000 0.2721 0.0000  3 Hg 2.80-3.02, 4 Li 2.93
Li6 0.0000 0.0000 0.8060  2 Hg 2.71, 6 Li 2.87-2.93
La1 0.0000 0.6667 0.3333  6 Hg 3.33, 3 Li 3.59
La2 0.0000 0.3333 0.6667  6 Hg 3.33, 3 Li 3.59
Hg1 0.5000 0.3995 0.3995  5 Li 2.71-3.02
Hg2 0.5000 0.6005 0.0000  5 Li 2.71-3.02
Hg3 0.5000 0.0000 0.6005  5 Li 2.71-3.02

Properties
Formation enthalpy at 0 K   -0.241 eV per atom
Calculated volume   261.1 Å³/cell
Space-group type   P-62m
Crystal system   hexagonal
Mass density   5.859 g/cm³
M_tot   0.00 Bohr magnetons per cell
E   -0.0832 hartree per atom

***

# 10
VASP calculation (PBE) on a geometry-optimized Nb6Co16Si7 structure.

a b c (Å): 7.9146 7.9146 7.9146
angles (deg): 60.00 60.00 60.00
With the nearest neighbours (Å) after each atom.
Fractional positions:
Nb1 0.2033 0.7967 0.2033  8 Co 2.67-2.74, 4 Si 2.85
Nb2 0.2033 0.7967 0.7967  8 Co 2.67-2.74, 4 Si 2.85
Nb3 0.7967 0.2033 0.2033  8 Co 2.67-2.74, 4 Si 2.85
Nb4 0.7967 0.7967 0.2033  8 Co 2.67-2.74, 4 Si 2.85
Nb5 0.2033 0.2033 0.7967  8 Co 2.67-2.74, 4 Si 2.85
Nb6 0.7967 0.2033 0.7967  8 Co 2.67-2.74, 4 Si 2.85
Co1 0.1665 0.1665 0.1665  3 Si 2.28, 3 Co 2.52
Co2 0.4995 0.8335 0.8335  3 Si 2.28, 3 Co 2.52
Co3 0.8335 0.4995 0.8335  3 Si 2.28, 3 Co 2.52
Co4 0.8335 0.8335 0.4995  3 Si 2.28, 3 Co 2.52
Co5 0.1665 0.5005 0.1665  3 Si 2.28, 3 Co 2.52
Co6 0.1665 0.1665 0.5005  3 Si 2.28, 3 Co 2.52
Co7 0.5005 0.1665 0.1665  3 Si 2.28, 3 Co 2.52
Co8 0.8335 0.8335 0.8335  3 Si 2.28, 3 Co 2.52
Co9 0.3812 0.3812 0.3812  4 Si 2.30-2.47, 3 Co 2.52
Co10 0.1436 0.6188 0.6188  4 Si 2.30-2.47, 3 Co 2.52
Co11 0.6188 0.1436 0.6188  4 Si 2.30-2.47, 3 Co 2.52
Co12 0.6188 0.6188 0.1436  4 Si 2.30-2.47, 3 Co 2.52
Co13 0.3812 0.8564 0.3812  4 Si 2.30-2.47, 3 Co 2.52
Co14 0.3812 0.3812 0.8564  4 Si 2.30-2.47, 3 Co 2.52
Co15 0.8564 0.3812 0.3812  4 Si 2.30-2.47, 3 Co 2.52
Co16 0.6188 0.6188 0.6188  4 Si 2.30-2.47, 3 Co 2.52
Si1 0.5000 0.5000 0.5000  8 Co 2.30
Si2 0.0000 0.5000 0.0000  8 Co 2.28-2.47
Si3 0.5000 0.0000 0.0000  8 Co 2.28-2.47
Si4 0.0000 0.5000 0.5000  8 Co 2.28-2.47
Si5 0.5000 0.0000 0.5000  8 Co 2.28-2.47
Si6 0.0000 0.0000 0.5000  8 Co 2.28-2.47
Si7 0.5000 0.5000 0.0000  8 Co 2.28-2.47

Properties
Raw formation energy   -53.8 kJ per mole of atoms
Calculated volume   350.6 Å³/cell
Space-group type   Fm-3m
Crystal system   cubic
Mass density   8.038 g/cm³
M_tot   0.00 Bohr magnetons per cell
E   -0.2892 hartree per atom

***

# 11
VASP calculation (PBE) on a geometry-optimized Ti5FeOs4 structure.

a b c (Å): 3.0742 3.0742 15.3248
angles (deg): 90.00 90.00 90.00
With the nearest neighbours (Å) after each atom.
Fractional positions:
Ti1 0.5000 0.5000 0.0944  4 Fe 2.61, 4 Os 2.67, 1 Ti 2.89
Ti2 0.5000 0.5000 0.2969  8 Os 2.67
Ti3 0.5000 0.5000 0.5000  8 Os 2.67
Ti4 0.5000 0.5000 0.7031  8 Os 2.67
Ti5 0.5000 0.5000 0.9056  4 Fe 2.61, 4 Os 2.67, 1 Ti 2.89
Fe1 0.0000 0.0000 0.0000  8 Ti 2.61
Os1 0.0000 0.0000 0.1954  8 Ti 2.67
Os2 0.0000 0.0000 0.3986  8 Ti 2.67
Os3 0.0000 0.0000 0.6014  8 Ti 2.67
Os4 0.0000 0.0000 0.8046  8 Ti 2.67

Properties
Formation enthalpy at 0 K   -0.644 eV per atom
Calculated volume   144.8 Å³/cell
Space-group type   P4/mmm
Crystal system   tetragonal
Mass density   12.109 g/cm³
M_tot   0.17 Bohr magnetons per cell
E   -0.3649 hartree per atom

***

# 12
VASP calculation (PBE) on a geometry-optimized Li2Cd3Pd3 structure.

a b c (Å): 3.4943 4.4179 9.2206
angles (deg): 103.86 100.92 90.00
With the nearest neighbours (Å) after each atom.
Fractional positions:
Li1 0.7462 0.2462 0.4925  2 Pd 2.70, 4 Cd 2.79-3.01, 4 Li 2.82
Li2 0.2538 0.7538 0.5075  2 Pd 2.70, 4 Cd 2.79-3.01, 4 Li 2.82
Cd1 0.6296 0.6296 0.2591  4 Li 2.79-3.01, 6 Pd 2.82-2.87
Cd2 0.3704 0.3704 0.7409  4 Li 2.79-3.01, 6 Pd 2.82-2.87
Cd3 0.5000 0.0000 0.0000  8 Pd 2.82-2.86
Pd1 0.1291 0.1291 0.2583  2 Li 2.70, 6 Cd 2.82-2.86
Pd2 0.0000 0.5000 0.0000  8 Cd 2.82-2.87
Pd3 0.8709 0.8709 0.7417  2 Li 2.70, 6 Cd 2.82-2.86

Properties
Formation enthalpy at 0 K   -0.377 eV per atom
Calculated volume   135.5 Å³/cell
Space-group type   Immm
Crystal system   orthorhombic
E above lowest polymorph   0 meV per atom
Mass density   8.213 g/cm³
M_tot   0.00 Bohr magnetons per cell
E   -0.1156 hartree per atom